1.
# RbTaH2

A relaxed structure of RbTaH2 (PBE, Alexandria via LeMat-Bulk).

abc: 5.602 5.602 5.602
angles: 118.39 118.39 92.81
Fractional positions:
Rb 0.000 0.000 0.000
Rb 0.750 0.250 0.500
Ta 0.250 0.750 0.500
Ta 0.500 0.500 0.000
H 0.240 0.625 0.115
H 0.375 0.490 0.615
H 0.510 0.125 0.885
H 0.875 0.760 0.385

Values from the calculation:
energy above the lowest structure with this stoichiometry	0.000	eV/atom

2.
# RbTaH3

A relaxed structure of RbTaH3 (PBE, Alexandria via LeMat-Bulk).

abc: 4.267 4.267 4.267
angles: 90.00 90.00 90.00
Fractional positions:
Rb 0.000 0.000 0.000
Ta 0.500 0.500 0.500
H 0.000 0.000 0.500
H 0.000 0.500 0.000
H 0.500 0.000 0.000

Values from the calculation:
energy above the lowest structure with this stoichiometry	1.613	eV/atom

3.
# RbTaH2

A relaxed structure of RbTaH2 (PBE, Alexandria via LeMat-Bulk).

abc: 4.605 4.605 4.605
angles: 60.00 60.00 60.00
Fractional positions:
Rb 0.000 0.000 0.000
Ta 0.500 0.500 0.500
H 0.250 0.250 0.250
H 0.750 0.750 0.750

Values from the calculation:
energy above the lowest structure with this stoichiometry	1.048	eV/atom

4.
# RbTa2H

A relaxed structure of RbTa2H (PBE, Alexandria via LeMat-Bulk).

abc: 6.172 6.172 6.172
angles: 60.00 60.00 60.00
Fractional positions:
Rb 0.125 0.125 0.125
Rb 0.875 0.875 0.875
Ta 0.000 0.500 0.500
Ta 0.500 0.000 0.500
Ta 0.500 0.500 0.000
Ta 0.500 0.500 0.500
H 0.375 0.375 0.375
H 0.625 0.625 0.625

Values from the calculation:
energy above the lowest structure with this stoichiometry	0.000	eV/atom

5.
# Rb2TaH

A relaxed structure of Rb2TaH (PBE, Alexandria via LeMat-Bulk).

abc: 6.098 6.098 6.098
angles: 60.00 60.00 60.00
Fractional positions:
Rb 0.250 0.250 0.250
Rb 0.750 0.750 0.750
Ta 0.000 0.000 0.000
H 0.500 0.500 0.500

Values from the calculation:
energy above the lowest structure with this stoichiometry	0.606	eV/atom

6.
# RbTaTc2H

A relaxed structure of RbTaTc2H (PBE, Alexandria via LeMat-Bulk).

abc: 4.731 4.731 3.595
angles: 90.00 90.00 90.00
Fractional positions:
Rb 0.000 0.000 0.000
Ta 0.500 0.500 0.000
Tc 0.000 0.500 0.500
Tc 0.500 0.000 0.500
H 0.500 0.500 0.500

Values from the calculation:
energy	-29.7	eV for the cell shown

7.
# RbYTaH2

A relaxed structure of RbYTaH2 (PBE, Alexandria via LeMat-Bulk).

abc: 4.411 4.411 6.924
angles: 90.00 90.00 90.00
Fractional positions:
Rb 0.000 0.000 0.000
Y 0.000 0.000 0.500
Ta 0.500 0.500 0.500
H 0.000 0.500 0.000
H 0.500 0.000 0.000

Values from the calculation:
energy	-17.4	eV for the cell shown

8.
# RbTbH

A relaxed structure of RbTbH (PBE, Alexandria via LeMat-Bulk).

abc: 14.331 3.669 3.669
angles: 59.91 90.00 90.00
Fractional positions:
Rb 0.131 0.000 0.000
Rb 0.869 0.000 0.000
Tb 0.392 0.677 0.677
Tb 0.608 0.677 0.677
H 0.000 0.667 0.667
H 0.500 0.011 0.011

Values from the calculation:
energy	-16.8	eV for the cell shown

9.
# RbTcH2

A relaxed structure of RbTcH2 (PBE, Alexandria via LeMat-Bulk).

abc: 4.655 4.655 4.655
angles: 60.00 60.00 60.00
Fractional positions:
Rb 0.000 0.000 0.000
Tc 0.500 0.500 0.500
H 0.250 0.250 0.250
H 0.750 0.750 0.750

Values from the calculation:
energy above the lowest structure with this stoichiometry	0.960	eV/atom

10.
# Rb3TcH7

A relaxed structure of Rb3TcH7 (PBE, Alexandria via LeMat-Bulk).

abc: 6.176 6.176 6.263
angles: 117.94 117.94 92.71
Fractional positions:
Rb 0.000 0.000 0.000
Rb 0.238 0.740 0.503
Rb 0.740 0.238 0.503
Tc 0.487 0.487 0.998
H 0.221 0.440 0.010
H 0.258 0.258 0.619
H 0.348 0.725 0.994
H 0.440 0.221 0.010
H 0.639 0.639 0.377
H 0.725 0.348 0.994
H 0.739 0.739 0.112

Values from the calculation:
energy	-38.4	eV for the cell shown

11.
# RbTcH2

A relaxed structure of RbTcH2 (PBE, Alexandria via LeMat-Bulk).

abc: 5.585 5.585 5.585
angles: 118.89 118.89 91.93
Fractional positions:
Rb 0.000 0.000 0.000
Rb 0.750 0.250 0.500
Tc 0.250 0.750 0.500
Tc 0.500 0.500 0.000
H 0.280 0.625 0.155
H 0.375 0.530 0.655
H 0.470 0.125 0.845
H 0.875 0.720 0.345

Values from the calculation:
energy above the lowest structure with this stoichiometry	0.000	eV/atom

12.
# Rb3TcH

A relaxed structure of Rb3TcH (PBE, Alexandria via LeMat-Bulk).

abc: 5.768 5.768 5.768
angles: 90.00 90.00 90.00
Fractional positions:
Rb 0.000 0.000 0.500
Rb 0.000 0.500 0.000
Rb 0.500 0.000 0.000
Tc 0.500 0.500 0.500
H 0.000 0.000 0.000

Values from the calculation:
energy above the lowest structure with this stoichiometry	0.000	eV/atom